BaInCoP: optimized geometry, GGA-PBE.

abc: 4.038 4.038 12.144
angles: 90.00 90.00 90.00
Each line ends with the local moment (μB).
Fractional coordinates of all 8 atoms:
Ba  0.750  0.750  0.224  0.01
Ba  0.250  0.250  0.776  0.01
In  0.250  0.750  0.500  0.00
In  0.750  0.250  0.500  0.00
Co  0.750  0.250  0.000  0.69
Co  0.250  0.750  0.000  0.69
P  0.750  0.750  0.913  0.01
P  0.250  0.250  0.087  0.01

Calculated values
- Magnetization: 0.179 μB/atom
- SG: No. 129
- Total energy: -4.856 eV/atom